Compound: KTi2WO8
Source: Alexandria via LeMat-Bulk
Functional: PBE with a Hubbard U
Structure: relaxed

## Properties
The calculation puts the total DFT energy (no corrections) at -7.623 eV per atom. Its calculated density is 4.09 g/cm³.

a = 5.2522 Å, b = 5.2522 Å, c = 7.1128 Å
α = 100.71°, β = 100.71°, γ = 71.62°
With the nearest neighbours (Å) after each atom.
Sites, in units of the cell vectors:
K 0.0000 0.0000 0.0000  4 O 2.61
Ti 0.4391 0.4391 0.7919  5 O 1.83-1.97
Ti 0.5609 0.5609 0.2081  5 O 1.83-1.97
W 0.0000 0.0000 0.5000  6 O 1.91-1.96
O 0.1998 0.7472 0.6838  1 Ti 1.90, 1 W 1.96
O 0.2259 0.2259 0.6124  1 W 1.91, 1 Ti 1.97
O 0.2528 0.8002 0.3162  1 Ti 1.90, 1 W 1.96
O 0.3576 0.3576 0.0090  2 Ti 1.83-1.97
O 0.6424 0.6424 0.9910  2 Ti 1.83-1.97
O 0.7472 0.1998 0.6838  1 Ti 1.90, 1 W 1.96
O 0.7741 0.7741 0.3876  1 W 1.91, 1 Ti 1.97
O 0.8002 0.2528 0.3162  1 Ti 1.90, 1 W 1.96